A geometry-optimized Sr2PaRh3O12 structure, computed with PBE.

a = 6.774 Å, b = 6.774 Å, c = 6.774 Å
α = 64.56°, β = 64.56°, γ = 64.56°
Fractional positions:
Sr: 0.615 0.615 0.615
Sr: 0.385 0.385 0.385
Pa: 0.000 0.000 0.000
Rh: 0.500 0.000 0.000
Rh: 0.000 0.500 0.000
Rh: 0.000 0.000 0.500
O: 0.295 0.295 0.876
O: 0.872 0.872 0.387
O: 0.387 0.872 0.872
O: 0.876 0.295 0.295
O: 0.872 0.387 0.872
O: 0.295 0.876 0.295
O: 0.705 0.705 0.124
O: 0.128 0.128 0.613
O: 0.613 0.128 0.128
O: 0.124 0.705 0.705
O: 0.128 0.613 0.128
O: 0.705 0.124 0.705

**Total moment**: 0.00 μB/f.u.
**Formation energy (no corrections)**: -1.5765 eV per atom
**Energy**: -6.822 eV/atom
**Calculated volume**: 241.8 Å³ per cell

A geometry-optimized MgTlCd2In5 structure, computed with PBE.

a = 8.574 Å, b = 8.574 Å, c = 9.059 Å
α = 118.24°, β = 118.24°, γ = 90.00°
Fractional positions:
Mg: 0.250 0.750 0.500
Mg: 0.750 0.250 0.500
Tl: 0.250 0.250 0.500
Tl: 0.750 0.750 0.500
Cd: 0.113 0.387 0.000
Cd: 0.613 0.113 0.000
Cd: 0.387 0.887 0.000
Cd: 0.887 0.613 0.000
In: 0.931 0.431 0.271
In: 0.661 0.161 0.729
In: 0.069 0.569 0.729
In: 0.161 0.069 0.729
In: 0.569 0.661 0.729
In: 0.839 0.931 0.271
In: 0.431 0.339 0.271
In: 0.339 0.839 0.271
In: 0.500 0.500 0.000
In: 0.000 0.000 0.000

**Total moment**: 0.00 μB/f.u.
**Energy**: -2.089 eV/atom
**Calculated volume**: 494.8 Å³ per cell
**DFT formation energy**: 75.6 meV per atom

A geometry-optimized Sc2MoIr structure, computed with PBE.

a = 9.722 Å, b = 9.722 Å, c = 9.722 Å
α = 17.68°, β = 17.68°, γ = 17.68°
Fractional positions:
Sc: 0.908 0.908 0.908
Sc: 0.092 0.092 0.092
Mo: 0.000 0.000 0.000
Ir: 0.500 0.500 0.500

**Total moment**: 0.00 μB/f.u.
**Energy**: -7.932 eV/atom
**Calculated volume**: 74.0 Å³ per cell
**DFT formation energy**: 157.3 meV per atom

A geometry-optimized La4Pm2SmSc structure, computed with PBE.

a = 5.985 Å, b = 5.986 Å, c = 9.719 Å
α = 51.98°, β = 90.00°, γ = 90.00°
Fractional positions:
La: 0.000 0.764 0.737
La: 0.000 0.236 0.263
La: 0.500 0.734 0.266
La: 0.500 0.266 0.734
Pm: 0.000 0.000 0.000
Pm: 0.500 0.000 0.500
Sm: 0.500 0.500 0.000
Sc: 0.000 0.500 0.500

**Total moment**: 0.00 μB/f.u.
**Energy**: -4.939 eV/atom
**Calculated volume**: 274.3 Å³ per cell
**DFT formation energy**: 93.6 meV per atom

A geometry-optimized Y4V structure, computed with PBE.

a = 5.393 Å, b = 5.393 Å, c = 5.393 Å
α = 90.00°, β = 90.00°, γ = 90.00°
Fractional positions:
Y: 0.000 0.000 0.000
Y: 0.500 0.000 0.500
Y: 0.000 0.500 0.500
Y: 0.500 0.500 0.000
V: 0.500 0.500 0.500

**Total moment**: 1.07 μB/f.u.
**Energy**: -6.559 eV/atom
**Calculated volume**: 156.9 Å³ per cell
**DFT formation energy**: 435.6 meV per atom

A geometry-optimized KLiBe3 structure, computed with PBE.

a = 5.584 Å, b = 5.584 Å, c = 5.584 Å
α = 90.00°, β = 90.00°, γ = 90.00°
Fractional positions:
Be: 0.000 0.500 0.000
Be: 0.000 0.000 0.500
Be: 0.500 0.000 0.000
K: 0.000 0.000 0.000
Li: 0.500 0.500 0.500

**Total moment**: 0.00 μB/f.u.
**E above lowest polymorph**: 0.916 eV per atom
**Energy**: -0.781 eV/atom
**Calculated volume**: 174.1 Å³ per cell
**DFT formation energy**: 2056.8 meV per atom

A geometry-optimized LiPrNdZn structure, computed with PBE.

a = 5.295 Å, b = 5.295 Å, c = 5.295 Å
α = 60.00°, β = 60.00°, γ = 60.00°
Fractional positions:
Pr: 0.250 0.250 0.250
Zn: 0.000 0.000 0.000
Nd: 0.750 0.750 0.750
Li: 0.500 0.500 0.500

**Total moment**: 0.00 μB/f.u.
**E above lowest polymorph**: 0.014 eV per atom
**Energy**: -3.289 eV/atom
**Calculated volume**: 105.0 Å³ per cell
**DFT formation energy**: -105.1 meV per atom

Q: Among the records above, which one has the highest total moment?
A: Y4V